Record 1
The following is a PBE-GGA calculation of a relaxed structure of Ce2PuPaS4, from Alexandria via LeMat-Bulk.

a b c (Å): 6.874 3.945 6.876
angles (deg): 90.00 109.28 90.00
Space group P2/m (No. 10)
One atom of each set of equivalent atoms:
Ce  0.000  0.000  0.000
Ce  0.500  0.500  0.000
Pu  0.000  0.500  0.500
Pa  0.500  0.000  0.500
S  0.247  0.000  0.742
S  0.252  0.500  0.258

Output
DFT total energy = -8.391 eV per atom
E_form (uncorrected) = -1.86 eV per atom
M_tot = 4.58 Bohr magnetons per cell


Record 2
The following is a PBE-GGA calculation of a relaxed structure of CaCeHo, from Alexandria via LeMat-Bulk.

a b c (Å): 3.5833 3.5833 9.0380
angles (deg): 90.00 90.00 120.00
Space group P3m1 (No. 156)
One atom of each set of equivalent atoms:
Ca  0.0000  0.0000  0.0000
Ce  0.3333  0.6667  0.6505
Ho  0.6667  0.3333  0.3458

Output
relative energy among the computed polymorphs = 0.0 kJ/mol of atoms
formation energy from the elements = 0.141 eV/atom
DFT total energy = -4.030 eV per atom
M_tot = 1.06 Bohr magnetons per cell


Record 3
The following is a PBE-GGA calculation of a relaxed structure of BaCrHg2, from Alexandria via LeMat-Bulk.

a b c (Å): 4.9094 4.9094 17.4120
angles (deg): 90.00 90.00 120.00
Space group R3m (No. 160, hexagonal axes)
One atom of each set of equivalent atoms:
Ba  0.0000  0.0000  0.0000
Cr  0.0000  0.0000  0.1955
Hg  0.0000  0.0000  0.5377
Hg  0.0000  0.0000  0.7985

Output
formation energy from the elements = 0.051 eV/atom
DFT total energy = -2.986 eV per atom
M_tot = 13.28 Bohr magnetons per cell


Record 4
The following is a PBE-GGA calculation of a relaxed structure of Ti3Nb2Rh, from Alexandria via LeMat-Bulk.

a b c (Å): 4.463 13.486 6.582
angles (deg): 90.00 90.00 90.00
Space group Cmmm (No. 65)
One atom of each set of equivalent atoms:
Ti  0.000  0.000  0.235
Ti  0.000  0.330  0.238
Nb  0.000  0.166  0.500
Nb  0.000  0.500  0.000
Nb  0.000  0.500  0.500
Rh  0.000  0.168  0.000

Output
formation energy from the elements = -0.278 eV/atom
DFT total energy = -8.808 eV per atom
M_tot = 0.00 Bohr magnetons per cell


Record 5
The following is a PBE-GGA calculation of a relaxed structure of Tl4IrO8, from Alexandria via LeMat-Bulk.

a b c (Å): 7.1016 7.1016 15.6541
angles (deg): 90.00 90.00 120.00
Space group R-3m (No. 166, hexagonal axes)
One atom of each set of equivalent atoms:
Tl  0.0000  0.0000  0.0000
Tl  0.0000  0.5000  0.0000
Ir  0.0000  0.0000  0.5000
O  0.0000  0.0000  0.2682
O  0.0751  0.5376  0.2403

Output
DFT total energy = -4.980 eV per atom
E_form (uncorrected) = -0.52 eV per atom
M_tot = 8.62 Bohr magnetons per cell


Record 6
The following is a PBE-GGA calculation of a relaxed structure of CeY8Tm6, from Alexandria via LeMat-Bulk.

a b c (Å): 9.3610 9.3610 6.5635
angles (deg): 90.00 90.00 120.00
Space group P-3 (No. 147)
One atom of each set of equivalent atoms:
Ce  0.0000  0.0000  0.0000
Y  0.0295  0.3406  0.6003
Y  0.3333  0.6667  0.3093
Tm  0.0847  0.6779  0.9067

Output
formation energy from the elements = 0.264 eV/atom
DFT total energy = -5.368 eV per atom
M_tot = 1.33 Bohr magnetons per cell